# 1
# PBE YAlRh3, optimized geometry
data_YAlRh3
_chemical_formula_sum 'Y1 Al1 Rh3'
_symmetry_space_group_name_H-M 'P m -3 m'
_symmetry_Int_Tables_number 221
_symmetry_space_group_name_Hall '-P 4 2 3'
_cell_length_a 4.511
_cell_length_b 4.511
_cell_length_c 4.511
_cell_angle_alpha 90.00
_cell_angle_beta 90.00
_cell_angle_gamma 90.00
loop_
_atom_site_label
_atom_site_type_symbol
_atom_site_fract_x
_atom_site_fract_y
_atom_site_fract_z
Y1 Y 0.000 0.000 0.000
Al1 Al 0.500 0.500 0.500
Rh1 Rh 0.000 0.500 0.500
# energy of formation = -0.37 eV per atom
# density of states at the Fermi level = 1.21 states/eV/atom
# total magnetization = 0.00 μB per atom
# E_tot = -34.10 eV/cell
# crystal system = cubic



# 2
# PBE FeCoBr2, optimized geometry
data_FeCoBr2
_chemical_formula_sum 'Fe1 Co1 Br2'
_symmetry_space_group_name_H-M 'P 1 2/m 1'
_symmetry_Int_Tables_number 10
_symmetry_space_group_name_Hall '-P 2y'
_cell_length_a 3.544
_cell_length_b 3.883
_cell_length_c 5.983
_cell_angle_alpha 90.00
_cell_angle_beta 96.21
_cell_angle_gamma 90.00
loop_
_atom_site_label
_atom_site_type_symbol
_atom_site_fract_x
_atom_site_fract_y
_atom_site_fract_z
Fe1 Fe 0.000 0.000 0.000
Co1 Co 0.500 0.000 0.500
Br1 Br 0.245 0.500 0.254
# density of states at the Fermi level = 1.47 states/eV/atom
# total magnetization = 1.26 μB per atom
# E_tot = -16.55 eV/cell
# crystal system = monoclinic
# E_form (uncorrected) = 2.36 eV/f.u.